(1)
Entry from Alexandria via LeMat-Bulk: a geometry-optimized RbPaP2O8 structure (PBE-GGA).

* formation energy (no corrections): -2.690 eV/atom
* crystal system: trigonal

Cell: 5.4364 5.4364 8.7903 Å, 90.00 90.00 120.00°
Closest atoms and distances in Å follow each position.
Space group P-3 (No. 147)
One atom of each set of equivalent atoms:
1 Rb 0.0000 0.0000 0.0000 [1 per cell]  12 O 3.29-3.55
2 Pa 0.0000 0.0000 0.5000 [1 per cell]  6 O 2.17
3 P 0.3333 0.6667 0.7189 [2 per cell]  4 O 1.49-1.58
4 O 0.1311 0.3650 0.6475 [6 per cell]  1 P 1.58
5 O 0.3333 0.6667 0.8884 [2 per cell]  1 P 1.49

=====

(2)
Entry from Alexandria via LeMat-Bulk: a geometry-optimized NaGaGe3 structure (PBE-GGA).

* crystal system: cubic
* ΔE_f: 4.74 eV per formula unit
* distance to the lowest polymorph of the same formula: 524.4 meV/atom

Cell: 5.0791 5.0791 5.0791 Å, 90.00 90.00 90.00°
Closest atoms and distances in Å follow each position.
Space group Pm-3m (No. 221)
One atom of each set of equivalent atoms:
1 Na 0.0000 0.0000 0.0000 [1 per cell]  6 Ge 2.54
2 Ga 0.5000 0.5000 0.5000 [1 per cell]  12 Ge 3.59
3 Ge 0.0000 0.0000 0.5000 [3 per cell]  2 Na 2.54

=====

(3)
Entry from Alexandria via LeMat-Bulk: a geometry-optimized Tl2FeSe structure (PBE-GGA).

* formation energy (no corrections): 0.414 eV/atom
* crystal system: trigonal
* distance to the lowest polymorph of the same formula: 325.8 meV/atom

Cell: 3.7849 3.7849 23.0396 Å, 90.00 90.00 120.00°
Closest atoms and distances in Å follow each position.
Space group R-3m (No. 166, hexagonal axes)
One atom of each set of equivalent atoms:
1 Tl 0.0000 0.0000 0.2476 [6 per cell]  3 Fe 2.87, 3 Se 2.95
2 Fe 0.0000 0.0000 0.5000 [3 per cell]  6 Tl 2.87
3 Se 0.0000 0.0000 0.0000 [3 per cell]  6 Tl 2.95

=====

(4)
Entry from Alexandria via LeMat-Bulk: a geometry-optimized La5GaBi4 structure (PBE-GGA).

* crystal system: tetragonal
* ΔE_f: -8.65 eV per formula unit

Cell: 10.4286 10.4286 6.5877 Å, 90.00 90.00 90.00°
Closest atoms and distances in Å follow each position.
Space group I4 (No. 79)
One atom of each set of equivalent atoms:
1 La 0.0000 0.0000 0.0000 [2 per cell]  2 Ga 3.29, 4 Bi 3.30
2 La 0.1011 0.7027 0.4992 [8 per cell]  1 Ga 3.27, 5 Bi 3.29-3.32
3 Ga 0.0000 0.0000 0.5001 [2 per cell]  6 La 3.27-3.29
4 Bi 0.0969 0.6990 0.9992 [8 per cell]  6 La 3.29-3.32

=====

(5)
Entry from Alexandria via LeMat-Bulk: a geometry-optimized Cd2InPb2 structure (PBE-GGA).

* crystal system: tetragonal
* ΔE_f: 0.65 eV per formula unit
* distance to the lowest polymorph of the same formula: 93.2 meV/atom

Cell: 8.7626 8.7626 3.8207 Å, 90.00 90.00 90.00°
Closest atoms and distances in Å follow each position.
Space group P4/mbm (No. 127)
One atom of each set of equivalent atoms:
1 Cd 0.1604 0.3396 0.0000 [4 per cell]  6 Pb 3.13-3.25
2 In 0.0000 0.0000 0.5000 [2 per cell]  4 Pb 3.39
3 Pb 0.1395 0.6395 0.5000 [4 per cell]  6 Cd 3.13-3.25, 2 In 3.39, 1 Pb 3.46

=====

(6)
Entry from Alexandria via LeMat-Bulk: a geometry-optimized Mn2RhSe structure (PBE-GGA).

* formation energy (no corrections): -0.012 eV/atom
* crystal system: orthorhombic

Cell: 3.9850 3.2376 9.9039 Å, 90.00 90.00 90.00°
Closest atoms and distances in Å follow each position.
Space group Amm2 (No. 38)
One atom of each set of equivalent atoms:
1 Mn 0.0000 0.0000 0.0000 [2 per cell]  1 Se 2.55, 4 Rh 2.68
2 Mn 0.5000 0.0000 0.3156 [2 per cell]  3 Rh 2.58-2.87, 4 Se 2.67
3 Rh 0.5000 0.0000 0.5762 [2 per cell]  7 Mn 2.58-2.87, 2 Se 2.58
4 Se 0.0000 0.0000 0.7421 [2 per cell]  5 Mn 2.55-2.67, 2 Rh 2.58

=====

(7)
Entry from Alexandria via LeMat-Bulk: a geometry-optimized In3Bi2 structure (PBE-GGA).

* crystal system: monoclinic
* ΔE_f: 0.27 eV per formula unit

Cell: 12.1529 8.8548 7.2064 Å, 90.00 122.48 90.00°
Closest atoms and distances in Å follow each position.
Space group C2/c (No. 15)
One atom of each set of equivalent atoms:
1 In 0.0000 0.0211 0.2500 [4 per cell]  4 Bi 3.30-3.45, 4 In 3.57-3.62
2 In 0.1387 0.3754 0.5035 [8 per cell]  4 Bi 3.11-3.24, 1 In 3.39
3 Bi 0.1367 0.2762 0.0693 [8 per cell]  6 In 3.11-3.45, 1 Bi 3.43

=====

(8)
Entry from Alexandria via LeMat-Bulk: a geometry-optimized ZrAl2In structure (PBE-GGA).

* crystal system: tetragonal
* ΔE_f: -0.35 eV per formula unit

Cell: 3.0439 3.0439 8.9505 Å, 90.00 90.00 90.00°
Closest atoms and distances in Å follow each position.
Space group P4/mmm (No. 123)
One atom of each set of equivalent atoms:
1 Zr 0.0000 0.0000 0.0000 [1 per cell]  8 Al 2.97, 4 Zr 3.04
2 Al 0.5000 0.5000 0.2287 [2 per cell]  4 Zr 2.97, 4 Al 3.04, 4 In 3.24
3 In 0.0000 0.0000 0.5000 [1 per cell]  4 In 3.04, 8 Al 3.24

=====

(9)
Entry from Alexandria via LeMat-Bulk: a geometry-optimized Ta2CrRh structure (PBE-GGA).

* crystal system: orthorhombic
* ΔE_f: -0.33 eV per formula unit

Cell: 3.2910 4.5216 8.4547 Å, 90.00 90.00 90.00°
Closest atoms and distances in Å follow each position.
Space group Immm (No. 71)
One atom of each set of equivalent atoms:
1 Ta 0.0000 0.0000 0.2459 [4 per cell]  2 Cr 2.65, 2 Rh 2.71, 4 Ta 2.80
2 Cr 0.0000 0.5000 0.5000 [2 per cell]  4 Ta 2.65, 4 Rh 2.80
3 Rh 0.0000 0.5000 0.0000 [2 per cell]  4 Ta 2.71, 4 Cr 2.80

=====

(10)
Entry from Alexandria via LeMat-Bulk: a geometry-optimized CaMg6Bi structure (PBE-GGA).

* crystal system: orthorhombic
* ΔE_f: -0.75 eV per formula unit
* distance to the lowest polymorph of the same formula: 0.0 meV/atom

Cell: 5.2631 6.4683 12.0116 Å, 90.00 90.00 90.00°
Closest atoms and distances in Å follow each position.
Space group Amm2 (No. 38)
One atom of each set of equivalent atoms:
1 Ca 0.0000 0.0000 0.0000 [2 per cell]  2 Bi 3.23, 10 Mg 3.31-3.45
2 Mg 0.0000 0.2486 0.2466 [4 per cell]  8 Mg 3.20-3.25, 2 Ca 3.37-3.45, 2 Bi 3.39-3.43
3 Mg 0.5000 0.0000 0.1682 [2 per cell]  8 Mg 3.21-3.23, 2 Ca 3.32
4 Mg 0.5000 0.0000 0.6673 [2 per cell]  8 Mg 3.19-3.24, 2 Bi 3.35
5 Mg 0.5000 0.2455 0.8977 [4 per cell]  6 Mg 3.18-3.29, 2 Ca 3.31, 2 Bi 3.32
6 Bi 0.0000 0.0000 0.4947 [2 per cell]  2 Ca 3.23, 10 Mg 3.32-3.43

=====

(11)
Entry from Alexandria via LeMat-Bulk: a geometry-optimized TiVIr2 structure (PBE-GGA).

* crystal system: orthorhombic
* ΔE_f: -2.53 eV per formula unit
* distance to the lowest polymorph of the same formula: 3.9 meV/atom

Cell: 7.0804 8.1069 8.1104 Å, 90.00 90.00 90.00°
Closest atoms and distances in Å follow each position.
Space group Fmmm (No. 69)
One atom of each set of equivalent atoms:
1 Ti 0.0000 0.2380 0.0000 [8 per cell]  8 Ir 2.67-2.73, 2 V 2.73
2 V 0.0000 0.0000 0.2389 [8 per cell]  8 Ir 2.66-2.73, 2 Ti 2.73
3 Ir 0.2275 0.0000 0.5000 [8 per cell]  4 V 2.66-2.73, 4 Ti 2.67-2.73, 4 Ir 2.87
4 Ir 0.2500 0.2500 0.2500 [8 per cell]  4 V 2.69, 4 Ti 2.69, 4 Ir 2.87

=====

(12)
Entry from Alexandria via LeMat-Bulk: a geometry-optimized BaCd2Sn4 structure (PBE-GGA).

* crystal system: orthorhombic
* ΔE_f: -1.46 eV per formula unit

Cell: 5.7012 13.9142 5.3558 Å, 90.00 90.00 90.00°
Closest atoms and distances in Å follow each position.
Space group Cmmm (No. 65)
One atom of each set of equivalent atoms:
1 Ba 0.0000 0.0000 0.0000 [2 per cell]  10 Sn 3.68-4.09
2 Cd 0.0000 0.4016 0.5000 [4 per cell]  1 Cd 2.74, 3 Sn 3.06-3.07
3 Sn 0.0000 0.1817 0.5000 [4 per cell]  3 Cd 3.06-3.08, 4 Sn 3.10-3.43
4 Sn 0.0000 0.2942 0.0000 [4 per cell]  2 Cd 3.07, 4 Sn 3.10-3.11

=====

D(E_F) values (in states/eV per cell) by entry order: 0.00 3.48 12.99 16.50 4.52 4.88 8.34 2.87 7.73 6.80 32.28 6.74.
Calculated density values (in g cm⁻³) by entry order: 3.74 3.94 9.47 7.42 8.54 7.58 7.74 5.21 13.64 3.21 13.79 6.54.
Magnetization values (in μB/f.u.) by entry order: 0.00 0.00 2.93 0.00 0.00 8.38 0.00 0.00 1.21 0.00 1.05 0.00.